(1)
Ho4RhSeS2: relaxed, PBE.

Unit cell a=6.9530 b=3.9099 c=6.9567 alpha=90.00 beta=108.74 gamma=90.00
Last column: nearest neighbours and their distance in Å.
Space group P2/m (No. 10)
Inequivalent atoms, fractional coordinates:
Ho  0.2427  0.0000  0.2357 [2 per cell]  3 S 2.75-2.87, 1 Rh 2.79, 2 Se 2.88
Ho  0.2554  0.5000  0.7646 [2 per cell]  2 Rh 2.76, 3 S 2.78-2.87, 1 Se 2.88
Rh  0.5000  0.0000  0.0000 [1 per cell]  6 Ho 2.76-2.79
Se  0.5000  0.5000  0.5000 [1 per cell]  6 Ho 2.88
S  0.0000  0.0000  0.5000 [1 per cell]  6 Ho 2.87
S  0.0000  0.5000  0.0000 [1 per cell]  6 Ho 2.75-2.78

- V (Å³ per atom) = 22.4
- raw formation energy (eV/atom) = -1.581



(2)
Ho6RhSe2S3: relaxed, PBE.

Unit cell a=17.4036 b=3.9176 c=8.0551 alpha=90.00 beta=103.11 gamma=90.00
Last column: nearest neighbours and their distance in Å.
Space group C2/m (No. 12)
Inequivalent atoms, fractional coordinates:
Ho  0.0034  0.0000  0.2623 [4 per cell]  2 Rh 2.75, 3 S 2.85-2.87, 1 Se 2.91
Ho  0.1622  0.5000  0.0941 [4 per cell]  3 S 2.73-2.75, 3 Se 2.86-2.88
Ho  0.1636  0.5000  0.5721 [4 per cell]  3 S 2.77-2.80, 1 Rh 2.77, 2 Se 2.90
Rh  0.0000  0.5000  0.5000 [2 per cell]  6 Ho 2.75-2.77
Se  0.1683  0.0000  0.8390 [4 per cell]  6 Ho 2.86-2.91
S  0.0000  0.5000  0.0000 [2 per cell]  6 Ho 2.75-2.87
S  0.1716  0.0000  0.3343 [4 per cell]  6 Ho 2.73-2.85

- V (Å³ per atom) = 22.3
- raw formation energy (eV/atom) = -1.688



(3)
Ho6Te3Rh2S: relaxed, PBE.

Unit cell a=7.1213 b=12.3617 c=7.5237 alpha=90.00 beta=108.70 gamma=90.00
Last column: nearest neighbours and their distance in Å.
Space group C2/m (No. 12)
Inequivalent atoms, fractional coordinates:
Ho  0.2261  0.0000  0.2085 [4 per cell]  2 Rh 2.78, 1 S 2.87, 1 Te 3.11
Ho  0.2398  0.3284  0.2089 [8 per cell]  2 Rh 2.76-2.79, 1 S 2.86
Te  0.0000  0.0000  0.5000 [2 per cell]  6 Ho 3.11-3.18
Te  0.0000  0.3368  0.5000 [4 per cell]  6 Ho 3.13-3.18
Rh  0.0000  0.1675  0.0000 [4 per cell]  6 Ho 2.76-2.79
S  0.0000  0.5000  0.0000 [2 per cell]  6 Ho 2.86-2.87

- V (Å³ per atom) = 26.1
- raw formation energy (eV/atom) = -1.250



(4)
Ho4Te2RhS: relaxed, PBE.

Unit cell a=7.2756 b=4.0576 c=7.3901 alpha=90.00 beta=108.30 gamma=90.00
Last column: nearest neighbours and their distance in Å.
Space group P2/m (No. 10)
Inequivalent atoms, fractional coordinates:
Ho  0.2260  0.0000  0.2048 [2 per cell]  2 Rh 2.75, 1 S 2.86
Ho  0.2581  0.5000  0.7897 [2 per cell]  1 Rh 2.79, 2 S 2.81, 2 Te 3.11
Te  0.0000  0.0000  0.5000 [1 per cell]  6 Ho 3.11-3.12
Te  0.5000  0.5000  0.5000 [1 per cell]  6 Ho 3.17-3.18
Rh  0.0000  0.5000  0.0000 [1 per cell]  6 Ho 2.75-2.79
S  0.5000  0.0000  0.0000 [1 per cell]  6 Ho 2.81-2.86

- V (Å³ per atom) = 25.9
- raw formation energy (eV/atom) = -1.333